Record 1
! UInMoO6 PBE with a Hubbard U relaxed; values from VASP
&SYSTEM
  ibrav = 0, nat = 18, ntyp = 4
/
ATOMIC_SPECIES
U 238.03 U.upf
In 114.82 In.upf
Mo 95.94 Mo.upf
O 16.00 O.upf
ATOMIC_POSITIONS angstrom
U 2.526 -2.964 0.550
U 7.586 -0.709 -0.342
In 3.258 -1.088 -1.916
In 6.854 -2.585 2.123
Mo 0.000 0.000 0.000
Mo 4.328 0.379 1.573
O 2.070 -2.900 -1.505
O 1.343 -4.666 0.920
O 7.121 -0.571 -2.392
O 8.770 0.993 -0.712
O 3.684 -1.231 0.244
O 4.057 -4.282 -0.047
O 9.099 -2.072 -0.881
O 2.991 -3.102 2.600
O 6.056 0.609 0.255
O 1.013 -1.602 1.089
O 6.429 -2.442 -0.036
O 8.043 -0.773 1.713
CELL_PARAMETERS angstrom
-0.370 -5.029 2.229
1.826 0.598 -5.168
8.656 0.759 3.147
! Symmetry: P-31c (163)
! Total DFT energy (no corrections) (eV/atom): -7.838
! Total magnetization (μB/f.u.): 3.00

Record 2
! UIn2MoO8 PBE with a Hubbard U relaxed; values from VASP
&SYSTEM
  ibrav = 0, nat = 12, ntyp = 4
/
ATOMIC_SPECIES
U 238.03 U.upf
In 114.82 In.upf
Mo 95.94 Mo.upf
O 16.00 O.upf
ATOMIC_POSITIONS angstrom
U 0.000 0.000 0.000
In 2.446 2.441 4.909
In 2.444 2.437 1.706
Mo 0.002 0.004 3.312
O 0.865 4.017 1.642
O 3.419 3.416 6.618
O 4.024 0.857 1.643
O 4.026 0.861 4.974
O 1.471 1.462 -0.003
O 0.867 4.021 4.972
O 3.464 3.457 3.306
O 1.426 1.421 3.310
CELL_PARAMETERS angstrom
4.956 -0.084 -0.003
-0.069 4.954 -0.006
0.004 0.008 6.624
! Symmetry: Cmmm (65)
! Total DFT energy (no corrections) (eV/atom): -7.397
! Total magnetization (μB/f.u.): 2.06

Record 3
! YInMo2O PBE with a Hubbard U relaxed; values from VASP
&SYSTEM
  ibrav = 0, nat = 5, ntyp = 4
/
ATOMIC_SPECIES
Y 88.91 Y.upf
Mo 95.94 Mo.upf
O 16.00 O.upf
In 114.82 In.upf
ATOMIC_POSITIONS angstrom
Y -0.085 -2.909 0.284
Mo 0.420 0.241 2.591
Mo -2.601 0.116 0.411
O -2.266 -2.552 3.286
In 0.000 0.000 0.000
CELL_PARAMETERS angstrom
-5.202 0.233 0.822
-0.170 -5.818 0.568
0.840 0.482 5.182
! Symmetry: P4/mmm (123)
! Total DFT energy (no corrections) (eV/atom): -4.137
! Total magnetization (μB/f.u.): 8.03

Record 4
! YIn2MoO8 PBE with a Hubbard U relaxed; values from VASP
&SYSTEM
  ibrav = 0, nat = 12, ntyp = 4
/
ATOMIC_SPECIES
Y 88.91 Y.upf
In 114.82 In.upf
Mo 95.94 Mo.upf
O 16.00 O.upf
ATOMIC_POSITIONS angstrom
Y 1.400 -2.516 1.679
In -1.019 -5.191 3.078
In -2.454 -2.612 1.357
Mo 0.000 0.000 0.000
O -2.352 -3.607 -0.626
O -4.475 -1.978 0.767
O -2.729 -1.308 3.135
O -1.121 -4.196 5.062
O 1.003 -5.824 3.668
O -0.744 -6.495 1.300
O -2.904 -4.420 2.414
O -0.569 -3.383 2.021
CELL_PARAMETERS angstrom
-3.432 0.447 3.532
-2.841 -3.217 -2.454
2.800 -5.032 3.357
! Symmetry: P2/m (10)
! Total DFT energy (no corrections) (eV/atom): -6.702
! Total magnetization (μB/f.u.): 0.94

Record 5
! ZnInMoO4 PBE with a Hubbard U relaxed; values from VASP
&SYSTEM
  ibrav = 0, nat = 14, ntyp = 4
/
ATOMIC_SPECIES
Zn 65.41 Zn.upf
In 114.82 In.upf
Mo 95.94 Mo.upf
O 16.00 O.upf
ATOMIC_POSITIONS angstrom
Zn 1.726 -1.583 7.022
Zn 4.771 0.837 7.173
In 0.000 0.000 0.000
In 3.746 -0.804 3.971
Mo 1.843 1.545 4.977
Mo 2.341 1.115 1.851
O 4.809 -0.650 10.648
O 5.372 -1.099 7.535
O 1.125 0.353 6.659
O 1.688 -0.097 3.546
O 3.107 -2.134 5.609
O 2.586 -1.684 8.881
O 3.910 0.938 5.314
O 3.390 1.388 8.585
CELL_PARAMETERS angstrom
-0.995 0.861 6.252
2.810 -3.837 4.240
4.681 2.230 3.702
! Symmetry: Imma (74)
! Total DFT energy (no corrections) (eV/atom): -5.953
! Total magnetization (μB/f.u.): 3.00